Compound: TcPt2Rh6
Source: Alexandria via LeMat-Bulk
Functional: PBE-GGA
Structure: relaxed

The structure belongs to space group C2/m (No. 12); the cell edges are 7.201, 4.662 and 8.133 Å and the angles 90.00°, 101.02° and 90.00°. The inequivalent atoms are Tc at (0.000, 0.000, 0.000), Pt at (0.169, 0.500, 0.439), Rh at (0.002, 0.000, 0.682), Rh at (0.169, 0.500, 0.099) and Rh at (0.174, 0.500, 0.773).

The offset from the most stable computed form is 0 meV/atom. As for the crystal system: monoclinic. The energy relative to the elements comes out at 125 meV/atom. Its total magnetization is 0.00 μB/f.u.



Compound: Er2ScZn2Rh5
Source: Alexandria via LeMat-Bulk
Functional: PBE-GGA
Structure: relaxed

The structure belongs to space group P4/mbm (No. 127); the cell edges are 9.730, 9.730 and 3.611 Å and the angles 90.00°, 90.00° and 90.00°. The inequivalent atoms are Er at (0.172, 0.328, 0.000), Sc at (0.000, 0.000, 0.000), Zn at (0.124, 0.624, 0.000), Rh at (0.000, 0.500, 0.500) and Rh at (0.071, 0.797, 0.500).

As for the crystal system: tetragonal. The energy relative to the elements comes out at -707 meV/atom. Its total magnetization is 0.00 μB/f.u.



Compound: K3Tm
Source: Alexandria via LeMat-Bulk
Functional: PBE-GGA
Structure: relaxed

The structure belongs to space group Fm-3m (No. 225); the cell edges are 9.654, 9.654 and 9.654 Å and the angles 90.00°, 90.00° and 90.00°. The inequivalent atoms are K at (0.000, 0.000, 0.000), K at (0.250, 0.250, 0.250) and Tm at (0.000, 0.000, 0.500).

The offset from the most stable computed form is 5 meV/atom. As for the crystal system: cubic. The energy relative to the elements comes out at 579 meV/atom. Its total magnetization is 0.00 μB/f.u.



Compound: Y3ErMg
Source: Alexandria via LeMat-Bulk
Functional: PBE-GGA
Structure: relaxed

The structure belongs to space group Pmmn (No. 59, origin choice 2); the cell edges are 3.712, 10.417 and 8.170 Å and the angles 90.00°, 90.00° and 90.00°. The inequivalent atoms are Y at (0.250, 0.004, 0.232), Y at (0.250, 0.750, 0.558), Er at (0.250, 0.750, 0.943) and Mg at (0.250, 0.250, 0.752).

The offset from the most stable computed form is 115 meV/atom. As for the crystal system: orthorhombic. The energy relative to the elements comes out at 108 meV/atom. Its total magnetization is 0.00 μB/f.u.